No. 1
5
Lattice="-2.036 2.036 7.024 2.036 -2.036 7.024 2.036 2.036 -7.024" Properties=species:S:1:pos:R:3 comment="PBE HfZr2In2, relaxed" vol_a3_per_cell=116.5 e_tot_ev_per_atom=-6.4203 total_magnetization_mub_per_cell=0.00 pbc="T T T"
Hf 0.000 0.000 0.000
In 0.000 0.000 8.361
In 0.000 0.000 5.687
Zr 2.036 0.000 3.512
Zr 0.000 2.036 3.512

***

No. 2
10
Lattice="-4.090 -2.128 -1.179 -0.509 -1.507 4.485 -6.091 10.192 2.732" Properties=species:S:1:pos:R:3 comment="PBE BaCd2InGe, relaxed" polymorph_energy_mev_per_atom=0.0 vol_a3_per_cell=275.9 pbc="T T T"
Ba -6.710 6.741 1.503
Ba -1.681 1.633 2.883
Ge -2.835 0.257 -0.236
Ge -5.556 8.117 4.621
Cd -2.300 -1.818 1.653
Cd -4.195 2.533 0.375
Cd 0.000 0.000 0.000
Cd -4.196 5.841 4.010
In -3.045 5.096 1.366
In -5.345 3.278 3.019

***

No. 3
6
Lattice="5.173 0.000 0.000 -2.586 4.480 0.000 0.000 0.000 6.353" Properties=species:S:1:pos:R:3 comment="PBE ErTm2ZnIn2, relaxed" vol_a3_per_cell=147.2 e_tot_ev_per_atom=-3.7759 total_magnetization_mub_per_cell=0.01 pbc="T T T"
Er 0.000 0.000 0.000
In 0.000 2.986 1.083
In 2.586 1.493 5.270
Tm 2.586 1.493 2.173
Tm 0.000 2.986 4.180
Zn 0.000 0.000 3.177

***

No. 4
4
Lattice="-2.487 -3.986 -0.989 1.976 -4.311 0.750 -1.595 -2.783 3.573" Properties=species:S:1:pos:R:3 comment="PBE YNb2W, relaxed" delta_e_f_ev_per_atom=0.440 vol_a3_per_cell=78.3 total_magnetization_mub_per_cell=0.00 pbc="T T T"
W -0.526 -2.770 0.833
Nb -1.053 -5.540 1.667
Nb -1.579 -8.310 2.500
Y 0.000 0.000 0.000

***

No. 5
6
Lattice="4.372 0.000 0.000 -2.186 3.787 0.000 0.000 0.000 7.136" Properties=species:S:1:pos:R:3 comment="PBE NdScZn2Ga2, relaxed" vol_a3_per_cell=118.1 e_tot_ev_per_atom=-3.8388 total_magnetization_mub_per_cell=0.12 pbc="T T T"
Zn 0.000 2.524 1.479
Zn 2.186 1.262 5.657
Sc 0.000 0.000 0.000
Ga 0.000 2.524 5.559
Ga 2.186 1.262 1.577
Nd 0.000 0.000 3.568

***

No. 6
12
Lattice="9.018 0.000 0.000 0.000 4.193 0.000 -3.597 0.000 9.844" Properties=species:S:1:pos:R:3 comment="PBE RbGdZnSe3, relaxed" vol_a3_per_cell=372.2 e_tot_ev_per_atom=-4.2758 total_magnetization_mub_per_cell=0.00 pbc="T T T"
Rb 4.199 3.145 7.178
Rb 1.223 1.048 2.665
Zn -1.462 1.048 6.003
Zn 6.883 3.145 3.841
Se 7.651 3.145 1.526
Se 1.769 1.048 8.369
Se -0.111 3.145 5.423
Se 3.653 3.145 1.475
Se -2.230 1.048 8.318
Se 5.533 1.048 4.421
Gd -0.223 3.145 8.495
Gd 5.645 1.048 1.349